No. 1
A plane-wave DFT calculation with GGA-PBEsol was carried out for a relaxed structure of TbFeB4.

abc: 3.337 5.868 11.357
angles: 90.00 90.00 90.00
Element x y z (fractional)
B (0.000, 0.219, 0.317)
B (0.000, 0.611, 0.454)
B (0.000, 0.140, 0.468)
B (0.000, 0.389, 0.546)
B (0.000, 0.889, 0.954)
B (0.000, 0.781, 0.683)
B (0.000, 0.360, 0.968)
B (0.000, 0.024, 0.190)
B (0.000, 0.640, 0.032)
B (0.000, 0.976, 0.810)
B (0.000, 0.524, 0.310)
B (0.000, 0.719, 0.183)
B (0.000, 0.860, 0.532)
B (0.000, 0.476, 0.690)
B (0.000, 0.281, 0.817)
B (0.000, 0.111, 0.046)
Fe (0.500, 0.868, 0.088)
Fe (0.500, 0.132, 0.912)
Fe (0.500, 0.368, 0.412)
Fe (0.500, 0.632, 0.588)
Tb (0.500, 0.626, 0.850)
Tb (0.500, 0.874, 0.350)
Tb (0.500, 0.374, 0.150)
Tb (0.500, 0.126, 0.650)

Properties
formation enthalpy at 0 K: -390 kJ/mol of formula units
SG: Pbam, No. 55
total magnetization: 0.00 μB per atom
mass density: 7.7 g/cm3

No. 2
A plane-wave DFT calculation with GGA-PBEsol was carried out for a relaxed structure of FeTc2B2.

abc: 3.377 5.335 5.335
angles: 90.00 90.00 90.00
Site moments in Bohr magnetons follow the coordinates.
Element x y z (fractional)
B (0.000, 0.121, 0.379)  0.00
B (0.000, 0.621, 0.121)  0.00
B (0.000, 0.879, 0.621)  0.00
B (0.000, 0.379, 0.879)  0.00
Fe (0.000, 0.000, 0.000)  0.17
Fe (0.000, 0.500, 0.500)  0.17
Tc (0.500, 0.677, 0.823)  0.01
Tc (0.500, 0.177, 0.677)  0.01
Tc (0.500, 0.323, 0.177)  0.01
Tc (0.500, 0.823, 0.323)  0.01

Properties
formation enthalpy at 0 K: -186 kJ/mol of formula units
SG: P4/mbm, No. 127
total magnetization: 0.04 μB per atom
mass density: 9.4 g/cm3

| no. | energy (Ry per atom) |
| --- | --- |
| 1 | -0.565 |
| 2 | -0.698 |